Below is crystalline TiSBr2 at its relaxed geometry, with properties calculated at the GGA-PBE level.

Results
- crystal system = tetragonal
- SG = No. 122
- relative energy among the computed polymorphs (meV per atom) = 246
- total magnetization (Bohr magnetons per cell) = 0.000
- formation energy without anion corrections (eV per atom) = -0.81
- theoretical density (kg/m³) = 3696

Cell: 9.7076 9.7076 7.2349 Å, 47.86 47.86 90.00°
Element x y z (fractional)
Ti: 0.0000 0.0000 0.0000
Ti: 0.7500 0.2500 0.5000
S: 0.2500 0.7500 0.5000
S: 0.5000 0.5000 0.0000
Br: 0.9722 0.6250 0.2500
Br: 0.3750 0.2222 0.7500
Br: 0.8750 0.0278 0.7500
Br: 0.7778 0.1250 0.2500